# 1
Material: Tl6InSb
Method: DFT, PBE
State: relaxed

a b c (Å): 4.9412 7.0184 7.0184
angles (deg): 90.08 90.00 90.00
Fractional positions:
Tl 0.0000 0.7545 0.2455
Tl 0.0000 0.2455 0.7545
Tl 0.0000 0.7553 0.7553
Tl 0.0000 0.2447 0.2447
Tl 0.5000 0.5000 0.0000
Tl 0.5000 0.0000 0.5000
In 0.5000 0.5000 0.5000
Sb 0.5000 0.0000 0.0000

* raw total energy: -21.02 eV per cell
* M_tot: 0.00 μB/f.u.



# 2
Material: TlInSb
Method: DFT, PBE
State: relaxed

a b c (Å): 5.4601 5.4602 8.7187
angles (deg): 75.31 75.31 51.06
Fractional positions:
Tl 0.6252 0.6252 0.0960
Tl 0.3748 0.3748 0.9040
In 0.1878 0.1878 0.3685
In 0.8122 0.8122 0.6315
Sb 0.1042 0.1042 0.7268
Sb 0.8958 0.8958 0.2732

* raw total energy: -18.44 eV per cell
* relative energy among the computed polymorphs: 0.0 kJ per mole of atoms
* M_tot: 0.00 μB/f.u.



# 3
Material: Tl14InSb
Method: DFT, PBE
State: relaxed

a b c (Å): 7.0088 7.0088 11.0486
angles (deg): 90.00 90.00 114.67
Fractional positions:
Tl 0.1010 0.8990 0.0000
Tl 0.5978 0.4022 0.0000
Tl 0.0827 0.4036 0.5000
Tl 0.0930 0.3974 0.0000
Tl 0.5964 0.9173 0.5000
Tl 0.6026 0.9070 0.0000
Tl 0.4090 0.0947 0.7414
Tl 0.4090 0.0947 0.2586
Tl 0.9053 0.5910 0.7414
Tl 0.9053 0.5910 0.2586
Tl 0.4066 0.5934 0.7490
Tl 0.4066 0.5934 0.2510
Tl 0.9111 0.0889 0.7522
Tl 0.9111 0.0889 0.2478
In 0.0871 0.9129 0.5000
Sb 0.5753 0.4247 0.5000

* raw total energy: -39.86 eV per cell
* M_tot: 0.00 μB/f.u.



# 4
Material: Tl2InSb
Method: DFT, PBE
State: relaxed

a b c (Å): 4.8243 4.8279 5.0990
angles (deg): 90.00 90.00 90.00
Fractional positions:
Sb 0.0000 0.5000 0.5000
Tl 0.0000 0.0000 0.0000
Tl 0.5000 0.5000 0.0000
In 0.5000 0.0000 0.5000

* raw total energy: -11.55 eV per cell
* relative energy among the computed polymorphs: 1.2 kJ per mole of atoms
* M_tot: 0.00 μB/f.u.



# 5
Material: Tl12In3Sb
Method: DFT, PBE
State: relaxed

a b c (Å): 5.4038 5.4038 16.5391
angles (deg): 90.00 90.00 90.00
Fractional positions:
Tl 0.5000 0.5000 0.0000
Tl 0.5000 0.5000 0.2507
Tl 0.5000 0.5000 0.5000
Tl 0.5000 0.5000 0.7493
Tl 0.5000 0.0000 0.1259
Tl 0.5000 0.0000 0.3785
Tl 0.5000 0.0000 0.6215
Tl 0.5000 0.0000 0.8741
Tl 0.0000 0.5000 0.1259
Tl 0.0000 0.5000 0.3785
Tl 0.0000 0.5000 0.6215
Tl 0.0000 0.5000 0.8741
In 0.0000 0.0000 0.2565
In 0.0000 0.0000 0.5000
In 0.0000 0.0000 0.7435
Sb 0.0000 0.0000 0.0000

* raw total energy: -40.40 eV per cell
* M_tot: 0.00 μB/f.u.



# 6
Material: Tl2InSb
Method: DFT, PBE
State: relaxed

a b c (Å): 6.7659 6.7659 6.7659
angles (deg): 149.18 129.85 60.02
Fractional positions:
Sb 0.2636 0.7636 0.5000
Tl 0.0145 0.0145 0.0000
Tl 0.7388 0.2388 0.5000
In 0.4831 0.4831 0.0000

* raw total energy: -11.46 eV per cell
* relative energy among the computed polymorphs: 3.3 kJ per mole of atoms
* M_tot: 0.00 μB/f.u.



# 7
Material: Tl2InSb
Method: DFT, PBE
State: relaxed

a b c (Å): 11.3965 11.3965 11.3965
angles (deg): 17.55 17.55 17.55
Fractional positions:
In 0.2500 0.2500 0.2500
Sb 0.7500 0.7500 0.7500
Tl 0.0013 0.0013 0.0013
Tl 0.4987 0.4987 0.4987

* raw total energy: -11.39 eV per cell
* relative energy among the computed polymorphs: 4.9 kJ per mole of atoms
* M_tot: 0.00 μB/f.u.



# 8
Material: Tl2InSb
Method: DFT, PBE
State: relaxed

a b c (Å): 7.2696 7.2696 7.9214
angles (deg): 62.69 62.69 90.00
Fractional positions:
Sb 0.0000 0.0000 0.0000
Sb 0.7500 0.2500 0.5000
Tl 0.6307 0.1250 0.2500
Tl 0.1193 0.6250 0.2500
Tl 0.3750 0.3693 0.7500
Tl 0.8750 0.8807 0.7500
In 0.5000 0.5000 0.0000
In 0.2500 0.7500 0.5000

* raw total energy: -21.25 eV per cell
* relative energy among the computed polymorphs: 23.5 kJ per mole of atoms
* M_tot: 0.00 μB/f.u.



# 9
Material: TlIn2Sb2
Method: DFT, PBE
State: relaxed

a b c (Å): 9.0856 9.0856 3.5823
angles (deg): 90.00 90.00 90.00
Fractional positions:
Sb 0.3468 0.8468 0.0000
Sb 0.8468 0.6532 0.0000
Sb 0.6532 0.1532 0.0000
Sb 0.1532 0.3468 0.0000
Tl 0.0000 0.0000 0.0000
Tl 0.5000 0.5000 0.0000
In 0.1443 0.6443 0.5000
In 0.6443 0.8557 0.5000
In 0.8557 0.3557 0.5000
In 0.3557 0.1443 0.5000

* raw total energy: -31.67 eV per cell
* relative energy among the computed polymorphs: 3.1 kJ per mole of atoms
* M_tot: 0.00 μB/f.u.



# 10
Material: TlInSb2
Method: DFT, PBE
State: relaxed

a b c (Å): 4.6758 4.6683 5.3312
angles (deg): 90.00 90.00 90.00
Fractional positions:
In 0.0000 0.5000 0.5000
Sb 0.0000 0.0000 0.0000
Sb 0.5000 0.5000 0.0000
Tl 0.5000 0.0000 0.5000

* raw total energy: -13.03 eV per cell
* relative energy among the computed polymorphs: 7.0 kJ per mole of atoms
* M_tot: 0.00 μB/f.u.



# 11
Material: Tl2In2Sb
Method: DFT, PBE
State: relaxed

a b c (Å): 7.8805 7.8805 5.0098
angles (deg): 90.00 90.00 90.00
Fractional positions:
Sb 0.0000 0.0000 0.0000
Sb 0.5000 0.5000 0.0000
Tl 0.1721 0.6721 0.5000
Tl 0.6721 0.8279 0.5000
Tl 0.8279 0.3279 0.5000
Tl 0.3279 0.1721 0.5000
In 0.3639 0.8639 0.0000
In 0.8639 0.6361 0.0000
In 0.6361 0.1361 0.0000
In 0.1361 0.3639 0.0000

* raw total energy: -28.27 eV per cell
* relative energy among the computed polymorphs: 0.0 kJ per mole of atoms
* M_tot: 0.00 μB/f.u.



# 12
Material: TlInSb2
Method: DFT, PBE
State: relaxed

a b c (Å): 5.2413 3.3501 7.6177
angles (deg): 64.12 90.00 90.00
Fractional positions:
In 0.5000 0.7500 0.7500
Sb 0.0000 0.0329 0.9643
Sb 0.0000 0.4671 0.5357
Tl 0.5000 0.2500 0.2500

* raw total energy: -13.13 eV per cell
* relative energy among the computed polymorphs: 4.6 kJ per mole of atoms
* M_tot: 0.00 μB/f.u.